The following is a PBE-GGA calculation of a relaxed Rb2CuSb2 crystal, from Alexandria.

## Properties
Electronic total energy   -30.1 eV/cell
Total moment   0.00 μB per formula unit

Structure (CIF):
```
data_Rb2CuSb2
_symmetry_space_group_name_H-M 'P 4/m b m'
_symmetry_Int_Tables_number 127
_symmetry_space_group_name_Hall '-P 4 2ab'
_cell_length_a 7.2108
_cell_length_b 7.2108
_cell_length_c 6.1370
_cell_angle_alpha 90.00
_cell_angle_beta 90.00
_cell_angle_gamma 90.00
loop_
_atom_site_label
_atom_site_fract_x
_atom_site_fract_y
_atom_site_fract_z
Rb1 0.1674 0.3326 0.0000
Cu1 0.0000 0.0000 0.5000
Sb1 0.1485 0.6485 0.5000
```